Density functional theory data (PBE-GGA) for Cd2Ag3Pt3 after structural relaxation.

Values from the calculation:
Its space group is Pmmm. The value obtained for the calculated volume is 17.31 Å³ per atom. The calculation puts the formation energy at -153 meV per atom.

Cell: 4.0994 4.2118 8.0192 Å, 90.00 90.00 90.00°
Fractional coordinates of all 8 atoms:
Cd1 0.0000 0.0000 0.7452
Pt1 0.5000 0.0000 0.5000
Pt2 0.5000 0.0000 0.0000
Pt3 0.0000 0.5000 0.5000
Ag1 0.0000 0.5000 0.0000
Ag2 0.5000 0.5000 0.7480
Cd2 0.0000 0.0000 0.2548
Ag3 0.5000 0.5000 0.2520